(1)
# Dy3Fe2Si4

A relaxed Dy3Fe2Si4 crystal (PBE, Alexandria).

a b c (Å): 4.073 5.618 7.852
angles (deg): 106.08 90.00 111.25
Fractional positions:
Dy 0.616 0.233 0.693
Fe 0.312 0.623 0.639
Dy 0.000 0.000 0.000
Fe 0.688 0.377 0.361
Si 0.109 0.218 0.406
Si 0.281 0.562 0.918
Dy 0.384 0.767 0.307
Si 0.891 0.782 0.594
Si 0.719 0.438 0.082

Formation energy without anion corrections in meV per atom: -696
E_tot in eV/f.u.: -58.69

***

(2)
# Pm2AlSnO6

A relaxed Pm2AlSnO6 crystal (PBE, Alexandria).

a b c (Å): 5.526 5.829 8.022
angles (deg): 90.00 89.73 90.00
Fractional positions:
O 0.216 0.180 0.054
O 0.716 0.320 0.554
Pm 0.019 0.939 0.249
Pm 0.519 0.561 0.749
O 0.284 0.680 0.446
O 0.114 0.454 0.729
Sn 0.500 0.000 0.500
Al 0.500 0.000 0.000
O 0.614 0.046 0.229
Pm 0.481 0.439 0.251
O 0.678 0.282 0.935
O 0.784 0.820 0.946
Sn 0.000 0.500 0.000
Al 0.000 0.500 0.500
O 0.886 0.546 0.271
O 0.178 0.218 0.435
O 0.822 0.782 0.565
O 0.386 0.954 0.771
O 0.322 0.718 0.065
Pm 0.981 0.061 0.751

Formation energy without anion corrections in meV per atom: -2690
E_tot in eV/f.u.: -73.89

***

(3)
# Ti5GaCu2

A relaxed Ti5GaCu2 crystal (PBE, Alexandria).

a b c (Å): 6.482 6.482 7.598
angles (deg): 115.25 115.25 90.00
Fractional positions:
Ti 0.495 0.687 0.683
Ti 0.500 0.500 0.000
Ga 0.250 0.250 0.500
Ti 0.813 0.005 0.317
Cu 0.368 0.868 0.000
Cu 0.632 0.132 0.000
Ti 0.313 0.813 0.317
Ti 0.000 0.000 0.000
Ti 0.187 0.995 0.683
Ga 0.750 0.750 0.500
Ti 0.687 0.187 0.683
Ti 0.005 0.505 0.317
Ti 0.995 0.495 0.683
Cu 0.132 0.368 0.000
Ti 0.505 0.313 0.317
Cu 0.868 0.632 0.000

E_tot in eV/f.u.: -51.50

***

Calculated DOS(E_F) in order - 5.93; 3.47; 11.29 states/eV/f.u.